# PBE Cr2TeRu, relaxed
data_Cr2TeRu
_chemical_formula_sum 'Cr8 Te4 Ru4'
_space_group_name_H-M_alt 'F -4 3 m'
_space_group_IT_number 216
_space_group_name_Hall 'F -4 2 3'
_cell_length_a 6.180
_cell_length_b 6.180
_cell_length_c 6.180
_cell_angle_alpha 90.00
_cell_angle_beta 90.00
_cell_angle_gamma 90.00
loop_
_atom_site_label
_atom_site_type_symbol
_atom_site_fract_x
_atom_site_fract_y
_atom_site_fract_z
Cr1 Cr 0.000 0.000 0.000
Cr2 Cr 0.250 0.250 0.250
Te1 Te 0.250 0.250 0.750
Ru1 Ru 0.000 0.000 0.500
# * VASP energy: -7.6432 eV/atom
# * density of states at the Fermi level: 8.27 states/eV/cell